Below is crystalline Sc2ReMo at its relaxed geometry, with properties calculated at the PBE level.

Properties
The total energy is -8.73 eV/atom. Its formation enthalpy at 0 K is 0.25 eV per atom. The energy above the lowest structure with this stoichiometry is 344 meV per atom.

Cell lengths 3.1667, 3.1667, 7.1392 Å; angles 90.00, 90.00, 90.00 degrees
With the nearest neighbours (Å) after each atom.
Element x y z (fractional)
Sc  0.0000  0.0000  0.2318  4 Re 2.78, 4 Mo 2.95
Sc  0.0000  0.0000  0.7682  4 Re 2.78, 4 Mo 2.95
Re  0.5000  0.5000  0.0000  8 Sc 2.78
Mo  0.5000  0.5000  0.5000  8 Sc 2.95, 4 Mo 3.17